No. 1
15
Lattice="7.206 0.000 0.000 -3.603 6.240 -0.022 0.000 -4.141 5.611" Properties=species:S:1:pos:R:3 comment="Na3La3SbO8, relaxed, DFT PBE" sg=R-3m raw_formation_energy_mev_per_atom=-2382 pbc="T T T"
O 2.006 3.252 3.919
O 5.609 -1.152 1.670
O 1.597 -1.152 1.670
O -2.005 3.251 3.919
O 0.000 -0.222 3.931
O 3.603 0.014 3.998
O 3.603 2.322 1.658
O 0.000 2.085 1.591
Na 1.802 3.120 -0.011
Na 0.000 0.000 0.000
Na -1.801 3.120 -0.011
La 1.802 1.050 2.794
La -1.801 1.049 2.794
La 3.603 -2.070 2.805
Sb 0.000 -2.071 2.805

No. 2
5
Lattice="5.021 0.000 0.000 0.000 5.021 0.000 0.000 0.000 4.774" Properties=species:S:1:pos:R:3 comment="NaLa2SbO, relaxed, DFT PBE" sg=P4/mmm raw_formation_energy_mev_per_atom=-1531 pbc="T T T"
La 2.510 0.000 0.000
La 0.000 2.510 0.000
Na 0.000 0.000 2.387
Sb 2.510 2.510 2.387
O 0.000 0.000 0.000